A relaxed DyZrRe crystal, computed with GGA-PBE.

Computed properties:
Its crystal system is trigonal. For the formation energy, the calculation gives 0.0534 eV/atom. The calculation puts the relative energy among the computed polymorphs at 66 meV/atom.

Cell lengths 5.849, 5.849, 13.886 Å; angles 77.84, 77.84, 60.00 degrees
Fractional coordinates of all 18 atoms:
Dy1 0.728 0.728 0.815
Dy2 0.272 0.272 0.185
Dy3 0.037 0.037 0.890
Dy4 0.963 0.963 0.110
Dy5 0.181 0.181 0.457
Dy6 0.819 0.819 0.543
Zr1 0.230 0.721 0.328
Zr2 0.721 0.230 0.328
Zr3 0.721 0.721 0.328
Zr4 0.770 0.279 0.672
Zr5 0.279 0.770 0.672
Zr6 0.279 0.279 0.672
Re1 0.382 0.382 0.853
Re2 0.618 0.618 0.147
Re3 0.000 0.500 0.000
Re4 0.500 0.000 0.000
Re5 0.500 0.500 0.000
Re6 0.500 0.500 0.500

A relaxed Ba2HgP crystal, computed with GGA-PBE.

Computed properties:
Its crystal system is trigonal. For the formation energy, the calculation gives -0.7467 eV/atom. The calculation puts the relative energy among the computed polymorphs at 17 meV/atom.

Cell lengths 4.697, 4.697, 8.880 Å; angles 74.70, 74.70, 59.96 degrees
Fractional coordinates of all 4 atoms:
P1 0.250 0.250 0.250
Hg1 0.750 0.750 0.750
Ba1 0.984 0.984 0.049
Ba2 0.516 0.516 0.451

A relaxed LuPaIr crystal, computed with GGA-PBE.

Computed properties:
Its crystal system is tetragonal. For the formation energy, the calculation gives -0.5172 eV/atom. The calculation puts the relative energy among the computed polymorphs at 0 meV/atom.

Cell lengths 3.551, 3.551, 5.925 Å; angles 107.44, 107.44, 90.00 degrees
Fractional coordinates of all 3 atoms:
Pa1 0.306 0.306 0.613
Lu1 0.010 0.010 0.020
Ir1 0.684 0.684 0.367

A relaxed Li2NbCdBr crystal, computed with GGA-PBE.

Computed properties:
Its crystal system is tetragonal. Its total DFT energy (no corrections) is -13.581 eV per cell.

Cell lengths 5.640, 5.033, 5.640 Å; angles 90.00, 90.00, 90.00 degrees
Fractional coordinates of all 5 atoms:
Nb1 0.000 0.000 0.000
Li1 0.000 0.000 0.500
Li2 0.500 0.000 0.000
Br1 0.000 0.500 0.000
Cd1 0.500 0.500 0.500

Number 1: spin magnetization 0.055 μB/atom, theoretical density 10.98 g/cm3. Number 2: spin magnetization 0.000 μB/atom, theoretical density 5.20 g/cm3. Number 3: spin magnetization 0.000 μB/atom, theoretical density 14.68 g/cm3. Number 4: spin magnetization 0.685 μB/atom, theoretical density 3.10 g/cm3.